# 1
Here is crystalline ReSbPS2 at its relaxed geometry from the Alexandria database. Energies are from PBE.

Properties
The value obtained for the uncorrected formation energy is 2.3 eV/f.u. The value obtained for the density of states at the Fermi level is 5.14 states/eV/cell.

abc: 4.5033 4.5033 5.1035
angles: 90.00 90.00 90.00
Last column: nearest neighbours and their distance in Å.
Atoms (fractional coordinates):
Sb: 0.5000 0.5000 0.5000  4 P 3.18, 8 S 3.40
S: 0.5000 0.0000 0.0000  2 Re 2.25
S: 0.0000 0.5000 0.0000  2 Re 2.25
Re: 0.0000 0.0000 0.0000  4 S 2.25
P: 0.0000 0.0000 0.5000  2 Re 2.55

=====

# 2
Here is crystalline TaCu3Tc at its relaxed geometry from the Alexandria database. Energies are from PBE.

Properties
The calculated formation energy comes out at 1.617 eV/atom. The value obtained for the density of states at the Fermi level is 5.66 states/eV/cell.

abc: 4.4694 4.4694 4.4694
angles: 90.00 90.00 90.00
Last column: nearest neighbours and their distance in Å.
Atoms (fractional coordinates):
Ta: 0.5000 0.5000 0.5000  12 Cu 3.16
Cu: 0.0000 0.0000 0.5000  2 Tc 2.23
Cu: 0.5000 0.0000 0.0000  2 Tc 2.23
Cu: 0.0000 0.5000 0.0000  2 Tc 2.23
Tc: 0.0000 0.0000 0.0000  6 Cu 2.23

=====

# 3
Here is crystalline RbNa3 at its relaxed geometry from the Alexandria database. Energies are from PBE.

Properties
The calculated formation energy comes out at 0.053 eV/atom. The value obtained for the density of states at the Fermi level is 1.98 states/eV/cell.

abc: 5.8581 5.8581 7.0277
angles: 114.63 114.63 90.00
Last column: nearest neighbours and their distance in Å.
Atoms (fractional coordinates):
Na: 0.2500 0.7500 0.5000  8 Na 4.08-4.14, 4 Rb 4.08
Rb: 0.0000 0.0000 0.0000  12 Na 4.08-4.14
Na: 0.5000 0.5000 0.0000  8 Na 4.08, 4 Rb 4.14
Na: 0.7500 0.2500 0.5000  8 Na 4.08-4.14, 4 Rb 4.08

=====

# 4
Here is crystalline SnBi4Te7 at its relaxed geometry from the Alexandria database. Energies are from PBE.

Properties
The value obtained for the uncorrected formation energy is -3.0 eV/f.u. The value obtained for the density of states at the Fermi level is 0.00 states/eV/cell.

abc: 4.4592 4.4592 24.8707
angles: 90.00 90.00 120.00
Last column: nearest neighbours and their distance in Å.
Atoms (fractional coordinates):
Bi: 0.3333 0.6667 0.5822  6 Te 3.10-3.29
Te: 0.0000 0.0000 0.5000  6 Bi 3.29
Te: 0.6667 0.3333 0.9244  3 Sn 3.19, 3 Bi 3.30
Te: 0.0000 0.0000 0.2272  3 Bi 3.09
Bi: 0.6667 0.3333 0.1584  6 Te 3.09-3.30
Te: 0.6667 0.3333 0.6513  3 Bi 3.10
Te: 0.3333 0.6667 0.3487  3 Bi 3.10
Te: 0.0000 0.0000 0.7728  3 Bi 3.09
Te: 0.3333 0.6667 0.0756  3 Sn 3.19, 3 Bi 3.30
Bi: 0.6667 0.3333 0.4178  6 Te 3.10-3.29
Sn: 0.0000 0.0000 0.0000  6 Te 3.19
Bi: 0.3333 0.6667 0.8416  6 Te 3.09-3.30

=====

# 5
Here is crystalline SrAlCu3 at its relaxed geometry from the Alexandria database. Energies are from PBE.

Properties
The calculated formation energy comes out at 1.360 eV/atom. The value obtained for the density of states at the Fermi level is 2.14 states/eV/cell.

abc: 5.4539 5.4539 5.4539
angles: 90.00 90.00 90.00
Last column: nearest neighbours and their distance in Å.
Atoms (fractional coordinates):
Al: 0.5000 0.5000 0.5000  12 Cu 3.86
Cu: 0.5000 0.0000 0.0000  2 Sr 2.73
Cu: 0.0000 0.0000 0.5000  2 Sr 2.73
Cu: 0.0000 0.5000 0.0000  2 Sr 2.73
Sr: 0.0000 0.0000 0.0000  6 Cu 2.73

=====

# 6
Here is crystalline VZnCu3 at its relaxed geometry from the Alexandria database. Energies are from PBE.

Properties
The calculated formation energy comes out at 0.866 eV/atom. The value obtained for the density of states at the Fermi level is 5.24 states/eV/cell.

abc: 4.3990 4.3990 4.3990
angles: 90.00 90.00 90.00
Last column: nearest neighbours and their distance in Å.
Atoms (fractional coordinates):
Zn: 0.0000 0.0000 0.0000  6 Cu 2.20
V: 0.5000 0.5000 0.5000  12 Cu 3.11
Cu: 0.0000 0.0000 0.5000  2 Zn 2.20
Cu: 0.5000 0.0000 0.0000  2 Zn 2.20
Cu: 0.0000 0.5000 0.0000  2 Zn 2.20

=====

# 7
Here is crystalline Dy6Zn2Ag at its relaxed geometry from the Alexandria database. Energies are from PBE.

Properties
The calculated formation energy comes out at -0.178 eV/atom. The value obtained for the density of states at the Fermi level is 19.71 states/eV/cell.

abc: 8.5195 8.5195 8.5195
angles: 108.81 111.55 108.07
Last column: nearest neighbours and their distance in Å.
Atoms (fractional coordinates):
Dy: 0.5564 0.7342 0.8222  3 Zn 3.16-3.20, 1 Ag 3.16, 1 Dy 3.41
Ag: 0.0000 0.5000 0.5000  8 Dy 3.11-3.35
Dy: 0.4436 0.2658 0.1778  3 Zn 3.16-3.20, 1 Ag 3.16, 1 Dy 3.41
Dy: 0.2839 0.6057 0.3218  3 Zn 2.91-3.09
Zn: 0.5000 0.3741 0.8741  1 Zn 2.50
Zn: 0.3629 0.0000 0.3629  1 Zn 2.63
Dy: 0.8023 0.2510 0.0533  2 Zn 2.95-3.14, 2 Ag 3.11-3.13
Dy: 0.7161 0.0379 0.3218  3 Zn 2.91-3.09
Dy: 0.7161 0.3943 0.6782  3 Zn 2.91-3.09
Ag: 0.0000 0.0000 0.0000  8 Dy 3.13-3.16, 2 Zn 3.48
Dy: 0.2839 0.9621 0.6782  3 Zn 2.91-3.09
Zn: 0.5000 0.6259 0.1259  1 Zn 2.50
Dy: 0.9121 0.7342 0.1778  3 Zn 3.16-3.20, 1 Ag 3.16, 1 Dy 3.41
Dy: 0.1977 0.7490 0.9467  2 Zn 2.95-3.14, 2 Ag 3.11-3.13
Dy: 0.0879 0.2658 0.8222  3 Zn 3.16-3.20, 1 Ag 3.16, 1 Dy 3.41
Zn: 0.6371 0.0000 0.6371  1 Zn 2.63
Dy: 0.1977 0.2510 0.4487  2 Zn 2.95-3.14, 2 Ag 3.11-3.13
Dy: 0.8023 0.7490 0.5513  2 Zn 2.95-3.14, 2 Ag 3.11-3.13

=====

# 8
Here is crystalline DyPu2Rh at its relaxed geometry from the Alexandria database. Energies are from PBE.

Properties
The calculated formation energy comes out at 0.115 eV/atom. The value obtained for the density of states at the Fermi level is 16.41 states/eV/cell.

abc: 3.4990 3.4990 10.3283
angles: 80.25 80.25 60.00
Last column: nearest neighbours and their distance in Å.
Atoms (fractional coordinates):
Rh: 0.5000 0.5000 0.5000  6 Pu 2.79
Pu: 0.1033 0.1033 0.6902  3 Rh 2.79
Pu: 0.8967 0.8967 0.3098  3 Rh 2.79
Dy: 0.0000 0.0000 0.0000  2 Pu 3.14, 6 Dy 3.50